Record 1
# AlNF GGA-PBE optimized geometry
# ΔE_f (raw)	-1334	meV/atom
# size of the total moment	0.342	μB/f.u.
data_AlNF
_cell_length_a 11.539
_cell_length_b 5.176
_cell_length_c 7.905
_cell_angle_alpha 90.00
_cell_angle_beta 128.95
_cell_angle_gamma 90.00
_space_group_name_H-M_alt 'C 1 2/c 1'
_space_group_IT_number 15
loop_
_space_group_symop_operation_xyz
'x,y,z'
'-x,-y,-z'
'-x,y,-z+1/2'
'x,-y,z+1/2'
'x+1/2,y+1/2,z'
'-x+1/2,-y+1/2,-z'
'-x+1/2,y+1/2,-z+1/2'
'x+1/2,-y+1/2,z+1/2'
loop_
_atom_site_label
_atom_site_fract_x
_atom_site_fract_y
_atom_site_fract_z
Al1 0.000 0.000 0.000
Al2 0.154 0.451 0.406
N1 0.000 0.174 0.250
N2 0.181 0.163 0.582
F1 0.021 0.341 0.914
F2 0.250 0.250 0.000

***

Record 2
# AlNF2 GGA-PBE optimized geometry
# ΔE_f (raw)	-796	meV/atom
# energy relative to the lowest polymorph listed for this composition	0	meV per atom
# size of the total moment	2.000	μB/f.u.
data_AlNF2
_cell_length_a 5.278
_cell_length_b 5.278
_cell_length_c 8.854
_cell_angle_alpha 90.00
_cell_angle_beta 90.00
_cell_angle_gamma 90.00
_space_group_name_H-M_alt 'I 41/a m d'
_space_group_IT_number 141
loop_
_space_group_symop_operation_xyz
'x,y,z'
'-x,-y,-z'
'-y+1/4,x+3/4,z+1/4'
'y+1/4,-x+3/4,-z+1/4'
'-x+1/2,-y,z+1/2'
'x+1/2,y,-z+1/2'
'y+1/4,-x+1/4,z+3/4'
'-y+1/4,x+1/4,-z+3/4'
'x,-y,-z'
'-x,y,z'
'-y+1/4,-x+1/4,-z+3/4'
'y+1/4,x+1/4,z+3/4'
'-x+1/2,y,-z+1/2'
'x+1/2,-y,z+1/2'
'y+1/4,x+3/4,-z+1/4'
'-y+1/4,-x+3/4,z+1/4'
'x+1/2,y+1/2,z+1/2'
'-x+1/2,-y+1/2,-z+1/2'
'-y+3/4,x+1/4,z+3/4'
'y+3/4,-x+1/4,-z+3/4'
'-x,-y+1/2,z'
'x,y+1/2,-z'
'y+3/4,-x+3/4,z+1/4'
'-y+3/4,x+3/4,-z+1/4'
'x+1/2,-y+1/2,-z+1/2'
'-x+1/2,y+1/2,z+1/2'
'-y+3/4,-x+3/4,-z+1/4'
'y+3/4,x+3/4,z+1/4'
'-x,y+1/2,-z'
'x,-y+1/2,z'
'y+3/4,x+1/4,-z+3/4'
'-y+3/4,-x+1/4,z+3/4'
loop_
_atom_site_label
_atom_site_fract_x
_atom_site_fract_y
_atom_site_fract_z
Al1 0.000 0.250 0.375
N1 0.000 0.250 0.875
F1 0.000 0.000 0.500

***

Record 3
# Al2N2F GGA-PBE optimized geometry
# ΔE_f (raw)	-1391	meV/atom
# energy relative to the lowest polymorph listed for this composition	0	meV per atom
# size of the total moment	0.000	μB/f.u.
data_Al2N2F
_cell_length_a 3.662
_cell_length_b 3.662
_cell_length_c 9.770
_cell_angle_alpha 90.00
_cell_angle_beta 90.00
_cell_angle_gamma 90.00
_space_group_name_H-M_alt 'I 4/m m m'
_space_group_IT_number 139
_space_group_name_Hall '-I 4 2'
loop_
_atom_site_label
_atom_site_fract_x
_atom_site_fract_y
_atom_site_fract_z
Al1 0.000 0.000 0.185
N1 0.000 0.500 0.250
F1 0.000 0.000 0.000

***

Record 4
# AlNF2 GGA-PBE optimized geometry
# ΔE_f (raw)	-255	meV/atom
# energy relative to the lowest polymorph listed for this composition	541	meV per atom
# size of the total moment	2.964	μB/f.u.
data_AlNF2
_cell_length_a 3.2520
_cell_length_b 3.2520
_cell_length_c 25.0070
_cell_angle_alpha 90.00
_cell_angle_beta 90.00
_cell_angle_gamma 120.00
_space_group_name_H-M_alt 'R -3 m'
_space_group_IT_number 166
_space_group_name_Hall '-R 3 2"'
loop_
_atom_site_label
_atom_site_fract_x
_atom_site_fract_y
_atom_site_fract_z
Al1 0.0000 0.0000 0.0000
N1 0.0000 0.0000 0.5000
F1 0.0000 0.0000 0.0661

***

Record 5
# AlNF2 GGA-PBE optimized geometry
# ΔE_f (raw)	-155	meV/atom
# energy relative to the lowest polymorph listed for this composition	641	meV per atom
# size of the total moment	2.007	μB/f.u.
data_AlNF2
_cell_length_a 5.391
_cell_length_b 5.391
_cell_length_c 5.391
_cell_angle_alpha 90.00
_cell_angle_beta 90.00
_cell_angle_gamma 90.00
_space_group_name_H-M_alt 'F m -3 m'
_space_group_IT_number 225
_space_group_name_Hall '-F 4 2 3'
loop_
_atom_site_label
_atom_site_fract_x
_atom_site_fract_y
_atom_site_fract_z
Al1 0.000 0.000 0.000
N1 0.000 0.000 0.500
F1 0.250 0.250 0.250

***

Record 6
# Al2N2F GGA-PBE optimized geometry
# ΔE_f (raw)	-788	meV/atom
# energy relative to the lowest polymorph listed for this composition	603	meV per atom
# size of the total moment	0.000	μB/f.u.
data_Al2N2F
_cell_length_a 5.644
_cell_length_b 5.644
_cell_length_c 2.693
_cell_angle_alpha 90.00
_cell_angle_beta 90.00
_cell_angle_gamma 90.00
_space_group_name_H-M_alt 'P 4/m b m'
_space_group_IT_number 127
_space_group_name_Hall '-P 4 2ab'
loop_
_atom_site_label
_atom_site_fract_x
_atom_site_fract_y
_atom_site_fract_z
Al1 0.168 0.332 0.000
N1 0.142 0.642 0.500
F1 0.000 0.000 0.000

***

Record 7
# AlNF2 GGA-PBE optimized geometry
# ΔE_f (raw)	-405	meV/atom
# energy relative to the lowest polymorph listed for this composition	391	meV per atom
# size of the total moment	2.699	μB/f.u.
data_AlNF2
_cell_length_a 3.2706
_cell_length_b 3.2706
_cell_length_c 21.9972
_cell_angle_alpha 90.00
_cell_angle_beta 90.00
_cell_angle_gamma 120.00
_space_group_name_H-M_alt 'R -3 m'
_space_group_IT_number 166
_space_group_name_Hall '-R 3 2"'
loop_
_atom_site_label
_atom_site_fract_x
_atom_site_fract_y
_atom_site_fract_z
Al1 0.0000 0.0000 0.0000
N1 0.0000 0.0000 0.5000
F1 0.0000 0.0000 0.3715

***

Record 8
# AlNF3 GGA-PBE optimized geometry
# ΔE_f (raw)	-1626	meV/atom
# energy relative to the lowest polymorph listed for this composition	0	meV per atom
# size of the total moment	3.000	μB/f.u.
data_AlNF3
_cell_length_a 3.736
_cell_length_b 3.736
_cell_length_c 3.736
_cell_angle_alpha 90.00
_cell_angle_beta 90.00
_cell_angle_gamma 90.00
_space_group_name_H-M_alt 'P m -3 m'
_space_group_IT_number 221
_space_group_name_Hall '-P 4 2 3'
loop_
_atom_site_label
_atom_site_fract_x
_atom_site_fract_y
_atom_site_fract_z
Al1 0.000 0.000 0.000
N1 0.500 0.500 0.500
F1 0.000 0.000 0.500

***

Record 9
# AlNF3 GGA-PBE optimized geometry
# ΔE_f (raw)	116	meV/atom
# energy relative to the lowest polymorph listed for this composition	1742	meV per atom
# size of the total moment	1.740	μB/f.u.
data_AlNF3
_cell_length_a 3.945
_cell_length_b 3.945
_cell_length_c 3.945
_cell_angle_alpha 90.00
_cell_angle_beta 90.00
_cell_angle_gamma 90.00
_space_group_name_H-M_alt 'P m -3 m'
_space_group_IT_number 221
_space_group_name_Hall '-P 4 2 3'
loop_
_atom_site_label
_atom_site_fract_x
_atom_site_fract_y
_atom_site_fract_z
Al1 0.000 0.000 0.000
N1 0.500 0.500 0.500
F1 0.000 0.500 0.500

***

Record 10
# NaAlNF2 GGA-PBE optimized geometry
# ΔE_f (raw)	-321	meV/atom
# energy relative to the lowest polymorph listed for this composition	1498	meV per atom
# size of the total moment	1.151	μB/f.u.
data_NaAlNF2
_cell_length_a 3.857
_cell_length_b 3.857
_cell_length_c 4.431
_cell_angle_alpha 90.00
_cell_angle_beta 90.00
_cell_angle_gamma 90.00
_space_group_name_H-M_alt 'P 4/m m m'
_space_group_IT_number 123
_space_group_name_Hall '-P 4 2'
loop_
_atom_site_label
_atom_site_fract_x
_atom_site_fract_y
_atom_site_fract_z
Na1 0.000 0.000 0.000
Al1 0.500 0.500 0.500
N1 0.000 0.000 0.500
F1 0.000 0.500 0.000

***

Record 11
# NaAlNF2 GGA-PBE optimized geometry
# ΔE_f (raw)	-1819	meV/atom
# energy relative to the lowest polymorph listed for this composition	0	meV per atom
# size of the total moment	1.000	μB/f.u.
data_NaAlNF2
_cell_length_a 3.865
_cell_length_b 3.865
_cell_length_c 3.789
_cell_angle_alpha 90.00
_cell_angle_beta 90.00
_cell_angle_gamma 90.00
_space_group_name_H-M_alt 'P 4/m m m'
_space_group_IT_number 123
_space_group_name_Hall '-P 4 2'
loop_
_atom_site_label
_atom_site_fract_x
_atom_site_fract_y
_atom_site_fract_z
Na1 0.000 0.000 0.000
Al1 0.500 0.500 0.500
N1 0.500 0.500 0.000
F1 0.000 0.500 0.500

***

Record 12
# NaAlN2F GGA-PBE optimized geometry
# ΔE_f (raw)	-503	meV/atom
# energy relative to the lowest polymorph listed for this composition	0	meV per atom
# size of the total moment	1.042	μB/f.u.
data_NaAlN2F
_cell_length_a 3.757
_cell_length_b 3.757
_cell_length_c 4.110
_cell_angle_alpha 90.00
_cell_angle_beta 90.00
_cell_angle_gamma 90.00
_space_group_name_H-M_alt 'P 4/m m m'
_space_group_IT_number 123
_space_group_name_Hall '-P 4 2'
loop_
_atom_site_label
_atom_site_fract_x
_atom_site_fract_y
_atom_site_fract_z
Na1 0.000 0.000 0.000
Al1 0.500 0.500 0.500
N1 0.000 0.500 0.500
F1 0.500 0.500 0.000

***

Copy entry 3 word for word.
# Al2N2F GGA-PBE optimized geometry
# ΔE_f (raw)	-1391	meV/atom
# energy relative to the lowest polymorph listed for this composition	0	meV per atom
# size of the total moment	0.000	μB/f.u.
data_Al2N2F
_cell_length_a 3.662
_cell_length_b 3.662
_cell_length_c 9.770
_cell_angle_alpha 90.00
_cell_angle_beta 90.00
_cell_angle_gamma 90.00
_space_group_name_H-M_alt 'I 4/m m m'
_space_group_IT_number 139
_space_group_name_Hall '-I 4 2'
loop_
_atom_site_label
_atom_site_fract_x
_atom_site_fract_y
_atom_site_fract_z
Al1 0.000 0.000 0.185
N1 0.000 0.500 0.250
F1 0.000 0.000 0.000

***

size of the total moment of number 5 (AlNF2)? 2.007 μB/f.u.